[1]
Na3UPa2Se6 | PBE | relaxed

a = 18.6534 Å, b = 4.0717 Å, c = 8.6409 Å
α = 90.00°, β = 107.82°, γ = 90.00°
Space group C2/m (No. 12)
One atom of each set of equivalent atoms:
1 Na 0.0000 0.0000 0.0000
2 Na 0.1660 0.5000 0.3327
3 U 0.0000 0.0000 0.5000
4 Pa 0.1661 0.5000 0.8314
5 Se 0.0031 0.5000 0.7439
6 Se 0.1648 0.0000 0.5896
7 Se 0.1695 0.0000 0.0764

Raw formation energy   -1.242 eV per atom
Spin magnetization   6.91 μB per formula unit
Crystal system   monoclinic

---

[2]
Na2UPa2Se6 | PBE | relaxed

a = 7.0951 Å, b = 12.2948 Å, c = 7.5672 Å
α = 90.00°, β = 108.04°, γ = 90.00°
Space group C2/m (No. 12)
One atom of each set of equivalent atoms:
1 Na 0.0000 0.1665 0.0000
2 U 0.0000 0.0000 0.5000
3 Pa 0.0000 0.3358 0.5000
4 Se 0.2435 0.1688 0.7303
5 Se 0.2432 0.5000 0.7348

Raw formation energy   -1.267 eV per atom
Spin magnetization   6.02 μB per formula unit
Crystal system   monoclinic

---

[3]
Na3U2PaSe6 | PBE | relaxed

a = 7.0769 Å, b = 12.2574 Å, c = 7.5789 Å
α = 90.00°, β = 108.13°, γ = 90.00°
Space group C2/m (No. 12)
One atom of each set of equivalent atoms:
1 Na 0.0000 0.0000 0.0000
2 Na 0.0000 0.3328 0.0000
3 U 0.0000 0.1667 0.5000
4 Pa 0.0000 0.5000 0.5000
5 Se 0.2449 0.3342 0.7374
6 Se 0.2474 0.0000 0.7372

Raw formation energy   -1.218 eV per atom
Spin magnetization   8.01 μB per formula unit
Crystal system   monoclinic

---

[4]
Na2U2PaSe6 | PBE | relaxed

a = 7.1183 Å, b = 12.3068 Å, c = 7.5405 Å
α = 90.00°, β = 108.32°, γ = 90.00°
Space group C2/m (No. 12)
One atom of each set of equivalent atoms:
1 Na 0.0000 0.1677 0.0000
2 U 0.0000 0.3346 0.5000
3 Pa 0.0000 0.0000 0.5000
4 Se 0.2419 0.1659 0.7300
5 Se 0.2474 0.5000 0.7321

Raw formation energy   -1.232 eV per atom
Spin magnetization   7.00 μB per formula unit
Crystal system   monoclinic

---

[5]
NaUPaSe4 | PBE | relaxed

a = 8.5012 Å, b = 8.5454 Å, c = 12.0973 Å
α = 90.00°, β = 90.00°, γ = 90.00°
Space group Imma (No. 74)
One atom of each set of equivalent atoms:
1 Na 0.0000 0.2500 0.1274
2 U 0.2500 0.2500 0.7500
3 Pa 0.0000 0.0000 0.5000
4 Se 0.0000 0.0208 0.7363
5 Se 0.2271 0.2500 0.5104

Raw formation energy   -1.230 eV per atom
Spin magnetization   4.00 μB per formula unit
Crystal system   orthorhombic

---

[6]
Na2YPa2Se6 | PBE | relaxed

a = 7.1669 Å, b = 12.3294 Å, c = 7.5058 Å
α = 90.00°, β = 107.99°, γ = 90.00°
Space group C2/m (No. 12)
One atom of each set of equivalent atoms:
1 Na 0.0000 0.1660 0.0000
2 Y 0.0000 0.0000 0.5000
3 Pa 0.0000 0.3377 0.5000
4 Se 0.2410 0.1691 0.7270
5 Se 0.2466 0.5000 0.7339

Raw formation energy   -1.440 eV per atom
Spin magnetization   3.04 μB per formula unit
Crystal system   monoclinic

---

[7]
Na3Y2PaSe6 | PBE | relaxed

a = 7.1613 Å, b = 12.4022 Å, c = 7.4508 Å
α = 90.00°, β = 108.69°, γ = 90.00°
Space group C2/m (No. 12)
One atom of each set of equivalent atoms:
1 Na 0.0000 0.0000 0.0000
2 Na 0.0000 0.3322 0.0000
3 Y 0.0000 0.1665 0.5000
4 Pa 0.0000 0.5000 0.5000
5 Se 0.2439 0.3338 0.7333
6 Se 0.2455 0.0000 0.7333

Raw formation energy   -1.543 eV per atom
Spin magnetization   1.79 μB per formula unit
Crystal system   monoclinic

---

[8]
Na4Y3PaSe8 | PBE | relaxed

a = 8.2877 Å, b = 8.2877 Å, c = 21.1126 Å
α = 90.00°, β = 90.00°, γ = 120.00°
Space group R-3m (No. 166, hexagonal axes)
One atom of each set of equivalent atoms:
1 Na 0.0000 0.0000 0.0000
2 Na 0.0000 0.5000 0.0000
3 Y 0.0000 0.5000 0.5000
4 Pa 0.0000 0.0000 0.5000
5 Se 0.0000 0.0000 0.2437
6 Se 0.9999 0.4999 0.2443

Raw formation energy   -1.584 eV per atom
Spin magnetization   1.84 μB per formula unit
Crystal system   trigonal

---

[9]
NaYPaSe4 | PBE | relaxed

a = 8.4758 Å, b = 8.6367 Å, c = 12.0044 Å
α = 90.00°, β = 90.00°, γ = 90.00°
Space group Imma (No. 74)
One atom of each set of equivalent atoms:
1 Na 0.0000 0.2500 0.1318
2 Y 0.2500 0.2500 0.7500
3 Pa 0.0000 0.0000 0.5000
4 Se 0.0000 0.0242 0.7372
5 Se 0.2259 0.2500 0.5090

Raw formation energy   -1.525 eV per atom
Spin magnetization   1.01 μB per formula unit
Crystal system   orthorhombic

---

[10]
Na2Y2PaSe6 | PBE | relaxed

a = 7.1998 Å, b = 12.4247 Å, c = 7.4712 Å
α = 90.00°, β = 108.84°, γ = 90.00°
Space group C2/m (No. 12)
One atom of each set of equivalent atoms:
1 Na 0.0000 0.1683 0.0000
2 Y 0.0000 0.3338 0.5000
3 Pa 0.0000 0.0000 0.5000
4 Se 0.2402 0.1661 0.7265
5 Se 0.2468 0.5000 0.7260

Raw formation energy   -1.607 eV per atom
Spin magnetization   1.06 μB per formula unit
Crystal system   monoclinic

---

[11]
Na2YPaSe4 | PBE | relaxed

a = 7.1753 Å, b = 4.0911 Å, c = 7.4833 Å
α = 90.00°, β = 108.26°, γ = 90.00°
Space group P2/m (No. 10)
One atom of each set of equivalent atoms:
1 Na 0.0000 0.0000 0.0000
2 Na 0.5000 0.5000 0.0000
3 Y 0.0000 0.5000 0.5000
4 Pa 0.5000 0.0000 0.5000
5 Se 0.2447 0.0000 0.7329
6 Se 0.2523 0.5000 0.2634

Raw formation energy   -1.469 eV per atom
Spin magnetization   1.95 μB per formula unit
Crystal system   monoclinic

---

[12]
NaY2PaSe4 | PBE | relaxed

a = 7.0846 Å, b = 4.0455 Å, c = 7.2046 Å
α = 90.00°, β = 108.68°, γ = 90.00°
Space group P2/m (No. 10)
One atom of each set of equivalent atoms:
1 Na 0.0000 0.0000 0.0000
2 Y 0.5000 0.0000 0.5000
3 Y 0.5000 0.5000 0.0000
4 Pa 0.0000 0.5000 0.5000
5 Se 0.2509 0.0000 0.7531
6 Se 0.2527 0.5000 0.2524

Raw formation energy   -1.553 eV per atom
Spin magnetization   1.30 μB per formula unit
Crystal system   monoclinic

---

[13]
Na2PaZnSe4 | PBE | relaxed

a = 7.0730 Å, b = 4.0096 Å, c = 7.4598 Å
α = 90.00°, β = 109.34°, γ = 90.00°
Space group P2/m (No. 10)
One atom of each set of equivalent atoms:
1 Na 0.0000 0.0000 0.0000
2 Na 0.5000 0.5000 0.0000
3 Pa 0.0000 0.5000 0.5000
4 Zn 0.5000 0.0000 0.5000
5 Se 0.2404 0.0000 0.7417
6 Se 0.2774 0.5000 0.2944

Raw formation energy   -1.069 eV per atom
Spin magnetization   0.98 μB per formula unit
Crystal system   monoclinic

---

[14]
Na3Zr3PaSe8 | PBE | relaxed

a = 7.7356 Å, b = 7.7356 Å, c = 21.7581 Å
α = 90.00°, β = 90.00°, γ = 120.00°
Space group R-3m (No. 166, hexagonal axes)
One atom of each set of equivalent atoms:
1 Na 0.0000 0.5000 0.0000
2 Zr 0.0000 0.5000 0.5000
3 Pa 0.0000 0.0000 0.5000
4 Se 0.0000 0.0000 0.2417
5 Se 0.0128 0.5064 0.7568

Raw formation energy   -1.326 eV per atom
Spin magnetization   1.68 μB per formula unit
Crystal system   trigonal

---

[15]
Na2ZrPaSe4 | PBE | relaxed

a = 6.7880 Å, b = 3.9635 Å, c = 7.6150 Å
α = 90.00°, β = 107.46°, γ = 90.00°
Space group P2/m (No. 10)
One atom of each set of equivalent atoms:
1 Na 0.0000 0.0000 0.0000
2 Na 0.5000 0.5000 0.0000
3 Zr 0.0000 0.5000 0.5000
4 Pa 0.5000 0.0000 0.5000
5 Se 0.2337 0.0000 0.7288
6 Se 0.2446 0.5000 0.2631

Raw formation energy   -1.292 eV per atom
Spin magnetization   1.84 μB per formula unit
Crystal system   monoclinic

---

[16]
Na4ZrPa3Se8 | PBE | relaxed

a = 7.9907 Å, b = 7.9907 Å, c = 21.8338 Å
α = 90.00°, β = 90.00°, γ = 120.00°
Space group R-3m (No. 166, hexagonal axes)
One atom of each set of equivalent atoms:
1 Na 0.0000 0.0000 0.0000
2 Na 0.0000 0.5000 0.0000
3 Zr 0.0000 0.0000 0.5000
4 Pa 0.0000 0.5000 0.5000
5 Se 0.0000 0.0000 0.2477
6 Se 0.0101 0.5050 0.2446

Raw formation energy   -1.275 eV per atom
Spin magnetization   5.05 μB per formula unit
Crystal system   trigonal

---

[17]
NaZrPaSe4 | PBE | relaxed

a = 8.0071 Å, b = 8.7713 Å, c = 11.4493 Å
α = 90.00°, β = 90.00°, γ = 90.00°
Space group Imma (No. 74)
One atom of each set of equivalent atoms:
1 Na 0.0000 0.2500 0.1472
2 Zr 0.2500 0.2500 0.7500
3 Pa 0.0000 0.0000 0.5000
4 Se 0.0000 0.0348 0.7481
5 Se 0.2323 0.2500 0.5094

Raw formation energy   -1.290 eV per atom
Spin magnetization   1.64 μB per formula unit
Crystal system   orthorhombic

---

[18]
NaPaSi4 | PBE | relaxed

a = 7.4387 Å, b = 7.4387 Å, c = 7.4387 Å
α = 90.00°, β = 90.00°, γ = 90.00°
Space group F-43m (No. 216)
One atom of each set of equivalent atoms:
1 Na 0.0000 0.0000 0.0000
2 Pa 0.2500 0.2500 0.2500
3 Si 0.1257 0.1257 0.6257

Raw formation energy   -0.065 eV per atom
Spin magnetization   0.00 μB per formula unit
Crystal system   cubic

---

[19]
NaPaSi | PBE | relaxed

a = 16.5088 Å, b = 3.1167 Å, c = 5.3922 Å
α = 90.00°, β = 90.00°, γ = 90.00°
Space group Amm2 (No. 38)
One atom of each set of equivalent atoms:
1 Na 0.1535 0.0000 0.0000
2 Pa 0.3565 0.0000 0.6579
3 Si 0.0000 0.0000 0.6665
4 Si 0.5000 0.0000 0.9912

Raw formation energy   0.245 eV per atom
Spin magnetization   0.00 μB per formula unit
Crystal system   orthorhombic

---

[20]
Na2SmPaTe4 | PBE | relaxed

a = 7.6861 Å, b = 4.3966 Å, c = 8.0853 Å
α = 90.00°, β = 108.15°, γ = 90.00°
Space group P2/m (No. 10)
One atom of each set of equivalent atoms:
1 Na 0.0000 0.0000 0.0000
2 Na 0.5000 0.5000 0.0000
3 Sm 0.0000 0.5000 0.5000
4 Pa 0.5000 0.0000 0.5000
5 Te 0.2500 0.0000 0.7389
6 Te 0.2558 0.5000 0.2610

Raw formation energy   -1.074 eV per atom
Spin magnetization   1.91 μB per formula unit
Crystal system   monoclinic